DFT (PBE) results for an optimized crystal structure of Na2VCl4.

Output
Raw total energy = -4.136 eV per atom
Energy relative to the lowest polymorph listed for this composition = 11.7 kJ per mole of atoms
Volume = 24.6 Å³/atom

a b c (Å): 4.915 4.915 14.250
angles (deg): 90.00 90.00 90.00
Space group I4/mmm (No. 139)
Asymmetric unit:
Na: 0.000 0.000 0.139
V: 0.000 0.000 0.500
Cl: 0.000 0.000 0.328
Cl: 0.000 0.500 0.000